# KBe2Al2

A relaxed structure of KBe2Al2 (PBE-GGA, the Alexandria database).

abc: 6.2230 6.2230 6.2230
angles: 141.28 141.28 55.91
Fractional coordinates of all 5 atoms:
1 K 0.0000 0.0000 0.0000
2 Be 0.3803 0.3803 0.0000
3 Be 0.6197 0.6197 0.0000
4 Al 0.2500 0.7500 0.5000
5 Al 0.7500 0.2500 0.5000

Computed properties:
Formation energy from the elements (eV per atom): 0.407

=====

# DyHoNiPt

A relaxed structure of DyHoNiPt (PBE-GGA, the Alexandria database).

abc: 4.8637 4.8637 4.8637
angles: 60.00 60.00 60.00
Fractional coordinates of all 4 atoms:
1 Dy 0.0000 0.0000 0.0000
2 Ho 0.5000 0.5000 0.5000
3 Ni 0.7500 0.7500 0.7500
4 Pt 0.2500 0.2500 0.2500

Computed properties:
Relative energy among the computed polymorphs (meV per atom): 62
Formation energy from the elements (eV per atom): -0.821

=====

# TiGa4Ir5

A relaxed structure of TiGa4Ir5 (PBE-GGA, the Alexandria database).

abc: 3.1199 3.1199 14.9322
angles: 90.00 90.00 90.00
Fractional coordinates of all 10 atoms:
1 Ti 0.0000 0.0000 0.0000
2 Ga 0.0000 0.0000 0.2009
3 Ga 0.0000 0.0000 0.4001
4 Ga 0.0000 0.0000 0.5999
5 Ga 0.0000 0.0000 0.7991
6 Ir 0.5000 0.5000 0.0993
7 Ir 0.5000 0.5000 0.2996
8 Ir 0.5000 0.5000 0.5000
9 Ir 0.5000 0.5000 0.7004
10 Ir 0.5000 0.5000 0.9007

Computed properties:
Formation energy from the elements (eV per atom): -0.487

=====

# LiSi

A relaxed structure of LiSi (PBE-GGA, the Alexandria database).

abc: 8.5994 8.5994 2.5738
angles: 90.00 90.00 150.00
Fractional coordinates of all 6 atoms:
1 Li 0.0000 0.0000 0.0000
2 Li 0.3599 0.6401 0.0000
3 Li 0.6401 0.3599 0.0000
4 Si 0.2151 0.7849 0.5000
5 Si 0.5000 0.5000 0.5000
6 Si 0.7849 0.2151 0.5000

Computed properties:
Uncorrected formation energy (meV per atom): -42

=====

# Cr2ReIrN

A relaxed structure of Cr2ReIrN (PBE-GGA, the Alexandria database).

abc: 3.8788 3.8788 3.9791
angles: 90.00 90.00 90.00
Fractional coordinates of all 5 atoms:
1 Cr 0.0000 0.5000 0.0000
2 Cr 0.5000 0.0000 0.0000
3 Re 0.0000 0.0000 0.5000
4 Ir 0.5000 0.5000 0.5000
5 N 0.0000 0.0000 0.0000

Computed properties:
Uncorrected formation energy (meV per atom): -146

=====

# ZrAl2Co

A relaxed structure of ZrAl2Co (PBE-GGA, the Alexandria database).

abc: 10.0830 10.0830 10.0830
angles: 158.47 158.47 30.63
Fractional coordinates of all 8 atoms:
1 Zr 0.0000 0.0000 0.0000
2 Zr 0.7500 0.2500 0.5000
3 Al 0.1372 0.6250 0.0122
4 Al 0.3750 0.3872 0.5122
5 Al 0.6128 0.1250 0.9878
6 Al 0.8750 0.8628 0.4878
7 Co 0.2500 0.7500 0.5000
8 Co 0.5000 0.5000 0.0000

Computed properties:
Formation energy from the elements (eV per atom): 0.056

=====

# KTmCd2Pb2

A relaxed structure of KTmCd2Pb2 (PBE-GGA, the Alexandria database).

abc: 4.9741 4.9741 8.9270
angles: 90.00 90.00 120.00
Fractional coordinates of all 6 atoms:
1 K 0.0000 0.0000 0.0000
2 Tm 0.0000 0.0000 0.5000
3 Cd 0.3333 0.6667 0.6422
4 Cd 0.6667 0.3333 0.3578
5 Pb 0.3333 0.6667 0.2616
6 Pb 0.6667 0.3333 0.7384

Computed properties:
Formation energy from the elements (eV per atom): -0.211

=====

# PaZn3Ir2

A relaxed structure of PaZn3Ir2 (PBE-GGA, the Alexandria database).

abc: 7.3685 7.3685 8.4347
angles: 117.94 117.94 31.06
Fractional coordinates of all 12 atoms:
1 Pa 0.1320 0.1320 0.0130
2 Pa 0.8680 0.8680 0.9870
3 Zn 0.0601 0.0601 0.4096
4 Zn 0.2982 0.2982 0.4858
5 Zn 0.4008 0.4008 0.3022
6 Zn 0.5992 0.5992 0.6978
7 Zn 0.7018 0.7018 0.5142
8 Zn 0.9399 0.9399 0.5904
9 Ir 0.2359 0.2359 0.7547
10 Ir 0.4645 0.4645 0.8187
11 Ir 0.5355 0.5355 0.1813
12 Ir 0.7641 0.7641 0.2453

Computed properties:
Formation energy from the elements (eV per atom): -0.427

=====

# ErFe2I8

A relaxed structure of ErFe2I8 (PBE-GGA, the Alexandria database).

abc: 8.0270 8.0270 10.1927
angles: 107.58 107.58 98.78
Fractional coordinates of all 11 atoms:
1 Er 0.0000 0.0000 0.0000
2 Fe 0.0199 0.0199 0.6480
3 Fe 0.9801 0.9801 0.3520
4 I 0.1208 0.7749 0.1925
5 I 0.2251 0.8792 0.8075
6 I 0.2335 0.2335 0.5827
7 I 0.3061 0.3061 0.2097
8 I 0.6939 0.6939 0.7903
9 I 0.7665 0.7665 0.4173
10 I 0.7749 0.1208 0.1925
11 I 0.8792 0.2251 0.8075

Computed properties:
Uncorrected formation energy (meV per atom): -576

=====

# Rb2ScAlRu

A relaxed structure of Rb2ScAlRu (PBE-GGA, the Alexandria database).

abc: 6.5037 6.5037 4.6020
angles: 90.00 90.00 90.00
Fractional coordinates of all 5 atoms:
1 Rb 0.0000 0.5000 0.0000
2 Rb 0.5000 0.0000 0.0000
3 Sc 0.0000 0.0000 0.5000
4 Al 0.5000 0.5000 0.0000
5 Ru 0.5000 0.5000 0.5000

Computed properties:
Formation energy from the elements (eV per atom): 1.211

=====

# Ti5Fe4Co

A relaxed structure of Ti5Fe4Co (PBE-GGA, the Alexandria database).

abc: 2.9601 2.9601 14.7355
angles: 90.00 90.00 90.00
Fractional coordinates of all 10 atoms:
1 Ti 0.0000 0.0000 0.0000
2 Ti 0.0000 0.0000 0.1998
3 Ti 0.0000 0.0000 0.3994
4 Ti 0.0000 0.0000 0.6006
5 Ti 0.0000 0.0000 0.8002
6 Fe 0.5000 0.5000 0.1002
7 Fe 0.5000 0.5000 0.3009
8 Fe 0.5000 0.5000 0.6991
9 Fe 0.5000 0.5000 0.8998
10 Co 0.5000 0.5000 0.5000

Computed properties:
Formation energy from the elements (eV per atom): -0.404

=====

# ZnBP2O

A relaxed structure of ZnBP2O (PBE-GGA, the Alexandria database).

abc: 4.7627 4.7627 3.5352
angles: 90.00 90.00 90.00
Fractional coordinates of all 5 atoms:
1 Zn 0.0000 0.0000 0.0000
2 B 0.5000 0.5000 0.5000
3 P 0.0000 0.5000 0.0000
4 P 0.5000 0.0000 0.0000
5 O 0.0000 0.0000 0.5000

Computed properties:
Uncorrected formation energy (meV per atom): 1385
Relative energy among the computed polymorphs (meV per atom): 1300